Record 1
Compound: AcIn6Sn2
Source: Alexandria via LeMat-Bulk
Functional: PBE-GGA
Structure: optimized geometry

Results
total magnetic moment: 0.0 μB per formula unit
E_tot: -3.314 eV/atom
formation enthalpy at 0 K: -142.7 meV/atom

Cell lengths 6.375, 6.375, 6.375 Å; angles 95.79, 95.79, 95.79 degrees
Fractional coordinates of all 9 atoms:
1 Ac 0.000 0.000 0.000
2 In 0.171 0.500 0.829
3 In 0.171 0.829 0.500
4 In 0.500 0.171 0.829
5 In 0.500 0.829 0.171
6 In 0.829 0.171 0.500
7 In 0.829 0.500 0.171
8 Sn 0.349 0.349 0.349
9 Sn 0.651 0.651 0.651

Record 2
Compound: LaCu2W
Source: Alexandria via LeMat-Bulk
Functional: PBE-GGA
Structure: optimized geometry

Results
total magnetic moment: 0.0 μB per formula unit
E_tot: -5.947 eV/atom
formation enthalpy at 0 K: 570.8 meV/atom

Cell lengths 4.326, 4.326, 3.843 Å; angles 90.00, 90.00, 90.00 degrees
Fractional coordinates of all 4 atoms:
1 La 0.000 0.000 0.000
2 Cu 0.000 0.500 0.500
3 Cu 0.500 0.000 0.500
4 W 0.500 0.500 0.000

Record 3
Compound: Cd2FeNi2
Source: Alexandria via LeMat-Bulk
Functional: PBE-GGA
Structure: optimized geometry

Results
total magnetic moment: 3.4 μB per formula unit
E_tot: -4.196 eV/atom
formation enthalpy at 0 K: 175.2 meV/atom

Cell lengths 6.117, 6.117, 4.147 Å; angles 90.00, 90.00, 90.00 degrees
Fractional coordinates of all 10 atoms:
1 Cd 0.173 0.327 0.000
2 Cd 0.327 0.827 0.000
3 Cd 0.673 0.173 0.000
4 Cd 0.827 0.673 0.000
5 Fe 0.000 0.000 0.500
6 Fe 0.500 0.500 0.500
7 Ni 0.134 0.634 0.500
8 Ni 0.366 0.134 0.500
9 Ni 0.634 0.866 0.500
10 Ni 0.866 0.366 0.500

Record 4
Compound: PmZrPd2
Source: Alexandria via LeMat-Bulk
Functional: PBE-GGA
Structure: optimized geometry

Results
total magnetic moment: 0.0 μB per formula unit
E_tot: -6.532 eV/atom
formation enthalpy at 0 K: -610.7 meV/atom

Cell lengths 5.025, 5.025, 3.306 Å; angles 90.00, 90.00, 90.00 degrees
Fractional coordinates of all 4 atoms:
1 Pm 0.000 0.000 0.000
2 Zr 0.500 0.500 0.000
3 Pd 0.000 0.500 0.500
4 Pd 0.500 0.000 0.500

Record 5
Compound: Rb3HgSe2O8
Source: Alexandria via LeMat-Bulk
Functional: PBE-GGA
Structure: optimized geometry

Results
total magnetic moment: 0.0 μB per formula unit
formation energy from raw total energies: -25.4 kcal/mol of atoms
E_tot: -4.663 eV/atom

Cell lengths 6.267, 6.267, 8.111 Å; angles 90.00, 90.00, 120.00 degrees
Fractional coordinates of all 14 atoms:
1 Rb 0.000 0.000 0.000
2 Rb 0.333 0.667 0.673
3 Rb 0.667 0.333 0.327
4 Hg 0.000 0.000 0.500
5 Se 0.333 0.667 0.219
6 Se 0.667 0.333 0.781
7 O 0.187 0.373 0.293
8 O 0.187 0.813 0.293
9 O 0.333 0.667 0.015
10 O 0.373 0.187 0.707
11 O 0.627 0.813 0.293
12 O 0.667 0.333 0.985
13 O 0.813 0.187 0.707
14 O 0.813 0.627 0.707

Record 6
Compound: InFe2Au
Source: Alexandria via LeMat-Bulk
Functional: PBE-GGA
Structure: optimized geometry

Results
total magnetic moment: 5.3 μB per formula unit
E_tot: -5.523 eV/atom
formation enthalpy at 0 K: 212.3 meV/atom

Cell lengths 2.874, 3.988, 5.560 Å; angles 90.00, 90.00, 90.00 degrees
Fractional coordinates of all 4 atoms:
1 In 0.000 0.000 0.000
2 Fe 0.500 0.500 0.261
3 Fe 0.500 0.500 0.739
4 Au 0.000 0.000 0.500

Record 7
Compound: CsNa3Sr4Br12
Source: Alexandria via LeMat-Bulk
Functional: PBE-GGA
Structure: optimized geometry

Results
total magnetic moment: 0.0 μB per formula unit
formation energy from raw total energies: -43.8 kcal/mol of atoms
E_tot: -3.481 eV/atom

Cell lengths 9.893, 9.893, 9.893 Å; angles 109.47, 109.47, 109.47 degrees
Fractional coordinates of all 20 atoms:
1 Cs 0.000 0.000 0.000
2 Na 0.000 0.500 0.500
3 Na 0.500 0.000 0.500
4 Na 0.500 0.500 0.000
5 Sr 0.000 0.000 0.500
6 Sr 0.000 0.500 0.000
7 Sr 0.500 0.000 0.000
8 Sr 0.500 0.500 0.500
9 Br 0.135 0.310 0.825
10 Br 0.175 0.484 0.310
11 Br 0.175 0.865 0.690
12 Br 0.310 0.175 0.484
13 Br 0.310 0.825 0.135
14 Br 0.484 0.310 0.175
15 Br 0.516 0.690 0.825
16 Br 0.690 0.175 0.865
17 Br 0.690 0.825 0.516
18 Br 0.825 0.135 0.310
19 Br 0.825 0.516 0.690
20 Br 0.865 0.690 0.175

Record 8
Compound: CsPb2F8
Source: Alexandria via LeMat-Bulk
Functional: PBE-GGA
Structure: optimized geometry

Results
total magnetic moment: 0.0 μB per formula unit
formation energy from raw total energies: -48.9 kcal/mol of atoms
E_tot: -4.234 eV/atom

Cell lengths 5.438, 5.438, 7.353 Å; angles 90.00, 90.00, 90.00 degrees
Fractional coordinates of all 11 atoms:
1 Cs 0.000 0.000 0.000
2 Pb 0.000 0.500 0.500
3 Pb 0.500 0.000 0.500
4 F 0.250 0.250 0.329
5 F 0.250 0.250 0.671
6 F 0.250 0.750 0.329
7 F 0.250 0.750 0.671
8 F 0.750 0.250 0.329
9 F 0.750 0.250 0.671
10 F 0.750 0.750 0.329
11 F 0.750 0.750 0.671

Record 9
Compound: Mg2CdPt
Source: Alexandria via LeMat-Bulk
Functional: PBE-GGA
Structure: optimized geometry

Results
total magnetic moment: 0.0 μB per formula unit
E_tot: -2.661 eV/atom
formation enthalpy at 0 K: -124.9 meV/atom

Cell lengths 7.349, 7.349, 7.349 Å; angles 156.64, 143.33, 43.94 degrees
Fractional coordinates of all 4 atoms:
1 Mg 0.189 0.189 0.000
2 Mg 0.811 0.811 0.000
3 Cd 0.500 0.500 0.000
4 Pt 0.000 0.000 0.000

Record 10
Compound: HfZrSe2Br
Source: Alexandria via LeMat-Bulk
Functional: PBE-GGA
Structure: optimized geometry

Results
total magnetic moment: 2.4 μB per formula unit
formation energy from raw total energies: -5.2 kcal/mol of atoms
E_tot: -5.652 eV/atom

Cell lengths 5.159, 5.159, 5.109 Å; angles 90.00, 90.00, 90.00 degrees
Fractional coordinates of all 5 atoms:
1 Hf 0.000 0.000 0.000
2 Zr 0.500 0.500 0.500
3 Se 0.000 0.500 0.000
4 Se 0.500 0.000 0.000
5 Br 0.000 0.000 0.500

Record 11
Compound: Ge2TeIr2
Source: Alexandria via LeMat-Bulk
Functional: PBE-GGA
Structure: optimized geometry

Results
total magnetic moment: 0.0 μB per formula unit
formation energy from raw total energies: 0.6 kcal/mol of atoms
E_tot: -5.995 eV/atom

Cell lengths 7.651, 7.651, 2.954 Å; angles 90.00, 90.00, 90.00 degrees
Fractional coordinates of all 10 atoms:
1 Ge 0.144 0.356 0.000
2 Ge 0.356 0.856 0.000
3 Ge 0.644 0.144 0.000
4 Ge 0.856 0.644 0.000
5 Te 0.000 0.000 0.500
6 Te 0.500 0.500 0.500
7 Ir 0.144 0.644 0.500
8 Ir 0.356 0.144 0.500
9 Ir 0.644 0.856 0.500
10 Ir 0.856 0.356 0.500

Record 12
Compound: KTiTePt2
Source: Alexandria via LeMat-Bulk
Functional: PBE-GGA
Structure: optimized geometry

Results
total magnetic moment: 0.4 μB per formula unit
formation energy from raw total energies: 22.0 kcal/mol of atoms
E_tot: -3.887 eV/atom

Cell lengths 5.052, 5.052, 5.764 Å; angles 90.00, 90.00, 90.00 degrees
Fractional coordinates of all 5 atoms:
1 K 0.000 0.000 0.000
2 Ti 0.500 0.500 0.000
3 Te 0.000 0.000 0.500
4 Pt 0.000 0.500 0.500
5 Pt 0.500 0.000 0.500